Ni2Ir: PBEsol geometry, meta-GGA SCAN.

a b c (Å): 9.2598 2.6258 6.0048
angles (deg): 90.00 105.84 90.00
Last column: nearest neighbours and their distance in Å.
Element x y z (fractional)
Ni: 0.1415 0.0000 0.0323  8 Ni 2.49-2.63, 4 Ir 2.52-2.54
Ni: 0.1973 0.0000 0.6413  7 Ni 2.49-2.63, 5 Ir 2.51-2.60
Ni: 0.3027 0.5000 0.3587  7 Ni 2.49-2.63, 5 Ir 2.51-2.60
Ni: 0.3585 0.5000 0.9677  8 Ni 2.49-2.63, 4 Ir 2.52-2.54
Ni: 0.6415 0.5000 0.0323  8 Ni 2.49-2.63, 4 Ir 2.52-2.54
Ni: 0.6973 0.5000 0.6413  7 Ni 2.49-2.63, 5 Ir 2.51-2.60
Ni: 0.8027 0.0000 0.3587  7 Ni 2.49-2.63, 5 Ir 2.51-2.60
Ni: 0.8585 0.0000 0.9677  8 Ni 2.49-2.63, 4 Ir 2.52-2.54
Ir: 0.0235 0.5000 0.2989  9 Ni 2.51-2.60, 3 Ir 2.57-2.63
Ir: 0.4765 0.0000 0.7011  9 Ni 2.51-2.60, 3 Ir 2.57-2.63
Ir: 0.5235 0.0000 0.2989  9 Ni 2.51-2.60, 3 Ir 2.57-2.63
Ir: 0.9765 0.5000 0.7011  9 Ni 2.51-2.60, 3 Ir 2.57-2.63

## Properties
The value obtained for the energy above the most stable polymorph in this dataset is 33.2 meV/atom. Its raw total energy is -34.432 eV/atom.